(1)
VASP calculation (PBE-GGA) on a relaxed structure of Mn2FePb.

Computed properties:
* symmetry: P4/mmm (123)
* uncorrected energy: -28.91 eV/f.u.

abc: 3.2059 3.2059 6.3480
angles: 90.00 90.00 90.00
Last column: nearest neighbours and their distance in Å.
Fractional positions:
Pb: 0.5000 0.5000 0.2500  8 Mn 2.94, 2 Fe 3.17, 4 Pb 3.21
Fe: 0.5000 0.5000 0.7500  8 Mn 2.61
Mn: 0.0000 0.0000 0.5451  1 Mn 2.60, 4 Fe 2.61
Mn: 0.0000 0.0000 0.9549  1 Mn 2.60, 4 Fe 2.61

(2)
VASP calculation (PBE-GGA) on a relaxed structure of Mn2FePb.

Computed properties:
* symmetry: P4mm (99)
* uncorrected energy: -28.65 eV/f.u.

abc: 3.2147 3.2152 5.7818
angles: 90.00 90.00 90.00
Last column: nearest neighbours and their distance in Å.
Fractional positions:
Mn: 0.0000 0.0000 0.0007  4 Mn 2.54, 4 Fe 2.55
Mn: 0.5000 0.5000 0.1958  1 Fe 2.28, 4 Mn 2.54
Pb: 0.0000 0.0000 0.5016  4 Fe 2.86, 6 Mn 2.88-2.90
Fe: 0.5000 0.5000 0.8019  5 Mn 2.28-2.55

(3)
VASP calculation (PBE-GGA) on a relaxed structure of MnFePb3.

Computed properties:
* polymorph energy (0 for the lowest one): 0.0 meV/atom
* symmetry: Pm-3m (221)
* uncorrected energy: -24.33 eV/f.u.

abc: 5.1084 5.1084 5.1084
angles: 90.00 90.00 90.00
Last column: nearest neighbours and their distance in Å.
Fractional positions:
Pb: 0.0000 0.0000 0.5000  2 Mn 2.55
Pb: 0.5000 0.0000 0.0000  2 Mn 2.55
Fe: 0.5000 0.5000 0.5000  12 Pb 3.61
Mn: 0.0000 0.0000 0.0000  6 Pb 2.55
Pb: 0.0000 0.5000 0.0000  2 Mn 2.55

(4)
VASP calculation (PBE-GGA) on a relaxed structure of Mn2FePb.

Computed properties:
* symmetry: Imm2 (44)
* uncorrected energy: -28.65 eV/f.u.

abc: 4.9582 4.9582 4.9582
angles: 133.00 133.13 68.55
Last column: nearest neighbours and their distance in Å.
Fractional positions:
Mn: 0.7499 0.2499 0.5000  4 Fe 2.79, 4 Mn 2.85, 4 Pb 2.85
Fe: 0.2503 0.7503 0.5000  8 Mn 2.79-2.85, 4 Pb 2.84-2.85
Mn: 0.9996 0.9996 0.0000  4 Pb 2.79, 4 Fe 2.84-2.85, 4 Mn 2.85
Pb: 0.5002 0.5002 0.0000  8 Mn 2.79-2.85, 4 Fe 2.84-2.85

(5)
VASP calculation (PBE-GGA) on a relaxed structure of Mn4FePb.

Computed properties:
* symmetry: F-43m (216)
* uncorrected energy: -46.00 eV/f.u.

abc: 4.8448 4.8448 4.8448
angles: 60.00 60.00 60.00
Last column: nearest neighbours and their distance in Å.
Fractional positions:
Mn: 0.6252 0.1243 0.6252  6 Mn 2.42-2.43
Mn: 0.6252 0.6252 0.1243  6 Mn 2.42-2.43
Fe: 0.0000 0.0000 0.0000  12 Mn 2.84, 4 Pb 2.97
Mn: 0.1243 0.6252 0.6252  6 Mn 2.42-2.43
Pb: 0.2500 0.2500 0.2500  12 Mn 2.84, 4 Fe 2.97
Mn: 0.6252 0.6252 0.6252  6 Mn 2.42-2.43

(6)
VASP calculation (PBE-GGA) on a relaxed structure of Mn2FePb.

Computed properties:
* symmetry: F-43m (216)
* uncorrected energy: -28.50 eV/f.u.

abc: 4.4089 4.4089 4.4089
angles: 60.00 60.00 60.00
Last column: nearest neighbours and their distance in Å.
Fractional positions:
Mn: 0.0000 0.0000 0.0000  4 Pb 2.70, 4 Mn 2.70
Mn: 0.2500 0.2500 0.2500  4 Mn 2.70, 4 Fe 2.70
Fe: 0.5000 0.5000 0.5000  4 Mn 2.70, 4 Pb 2.70
Pb: 0.7500 0.7500 0.7500  4 Mn 2.70, 4 Fe 2.70

(7)
VASP calculation (PBE-GGA) on a relaxed structure of MnFe4Pb2.

Computed properties:
* symmetry: I4/mmm (139)
* uncorrected energy: -44.02 eV/f.u.

abc: 4.2773 4.2773 7.5225
angles: 73.48 73.48 90.00
Last column: nearest neighbours and their distance in Å.
Fractional positions:
Pb: 0.3590 0.3590 0.2819  5 Fe 2.71-2.89
Fe: 0.8377 0.8377 0.3247  1 Mn 2.24
Mn: 0.0000 0.0000 0.0000  6 Fe 2.14-2.24
Fe: 0.5000 0.0000 0.0000  2 Mn 2.14
Fe: 0.1623 0.1623 0.6753  1 Mn 2.24
Pb: 0.6410 0.6410 0.7181  5 Fe 2.71-2.89
Fe: 0.0000 0.5000 0.0000  2 Mn 2.14

(8)
VASP calculation (PBE-GGA) on a relaxed structure of MnFePb.

Computed properties:
* polymorph energy (0 for the lowest one): 0.0 meV/atom
* symmetry: I4mm (107)
* uncorrected energy: -20.01 eV/f.u.

abc: 5.0854 5.0855 3.3393
angles: 70.83 70.83 38.33
Last column: nearest neighbours and their distance in Å.
Fractional positions:
Mn: 0.3541 0.3541 0.6460  4 Fe 2.62, 5 Pb 2.80-2.91
Pb: 0.6650 0.6651 0.3350  5 Mn 2.80-2.91, 5 Fe 2.84-2.89
Fe: 0.9809 0.9808 0.0190  4 Mn 2.62, 5 Pb 2.84-2.89

(9)
VASP calculation (PBE-GGA) on a relaxed structure of Mn2Fe2Pb.

Computed properties:
* symmetry: P4/mbm (127)
* uncorrected energy: -36.59 eV/f.u.

abc: 7.0969 7.0969 2.9838
angles: 90.00 90.00 90.00
Last column: nearest neighbours and their distance in Å.
Fractional positions:
Fe: 0.1176 0.3824 0.0000  1 Fe 2.36, 6 Mn 2.53-2.64
Mn: 0.6657 0.8343 0.5000  6 Fe 2.53-2.64
Pb: 0.5000 0.5000 0.0000  4 Fe 2.84, 2 Pb 2.98, 8 Mn 3.04
Mn: 0.3343 0.1657 0.5000  6 Fe 2.53-2.64
Pb: 0.0000 0.0000 0.0000  4 Fe 2.84, 2 Pb 2.98, 8 Mn 3.04
Mn: 0.1657 0.6657 0.5000  6 Fe 2.53-2.64
Fe: 0.8824 0.6176 0.0000  1 Fe 2.36, 6 Mn 2.53-2.64
Fe: 0.6176 0.1176 0.0000  1 Fe 2.36, 6 Mn 2.53-2.64
Mn: 0.8343 0.3343 0.5000  6 Fe 2.53-2.64
Fe: 0.3824 0.8824 0.0000  1 Fe 2.36, 6 Mn 2.53-2.64

(10)
VASP calculation (PBE-GGA) on a relaxed structure of MnFePb.

Computed properties:
* polymorph energy (0 for the lowest one): 123.1 meV/atom
* symmetry: P3m1 (156)
* uncorrected energy: -19.64 eV/f.u.

abc: 4.3242 4.3242 3.0904
angles: 90.00 90.00 120.00
Last column: nearest neighbours and their distance in Å.
Fractional positions:
Fe: 0.0000 0.0000 0.0426  3 Mn 2.60, 3 Pb 2.74
Pb: 0.3333 0.6667 0.6788  3 Fe 2.74, 3 Mn 2.79
Mn: 0.6667 0.3333 0.2786  3 Fe 2.60, 3 Pb 2.79

(11)
VASP calculation (PBE-GGA) on a relaxed structure of MnFePb.

Computed properties:
* polymorph energy (0 for the lowest one): 198.5 meV/atom
* symmetry: F-43m (216)
* uncorrected energy: -19.42 eV/f.u.

abc: 4.2796 4.2796 4.2796
angles: 60.00 60.00 60.00
Last column: nearest neighbours and their distance in Å.
Fractional positions:
Fe: 0.7500 0.7500 0.7500  4 Mn 2.62, 4 Pb 2.62
Pb: 0.5000 0.5000 0.5000  4 Fe 2.62
Mn: 0.0000 0.0000 0.0000  4 Fe 2.62

(12)
VASP calculation (PBE-GGA) on a relaxed structure of MnFePb.

Computed properties:
* polymorph energy (0 for the lowest one): 194.3 meV/atom
* symmetry: P3m1 (156)
* uncorrected energy: -19.43 eV/f.u.

abc: 3.1442 3.1442 6.3890
angles: 90.00 90.00 120.00
Last column: nearest neighbours and their distance in Å.
Fractional positions:
Fe: 0.0000 0.0000 0.0230  3 Mn 2.54
Pb: 0.6667 0.3333 0.6754  3 Fe 2.87, 3 Mn 3.00, 6 Pb 3.14
Mn: 0.3333 0.6667 0.3016  3 Fe 2.54

(13)
VASP calculation (PBE-GGA) on a relaxed structure of MnFePtPb2.

Computed properties:
* symmetry: P4/mmm (123)
* uncorrected energy: -25.50 eV/f.u.

abc: 5.3691 4.6384 5.3691
angles: 90.00 90.00 90.00
Last column: nearest neighbours and their distance in Å.
Fractional positions:
Pb: 0.5000 0.0000 0.0000  2 Pt 2.68
Fe: 0.0000 0.5000 0.0000  2 Pt 2.32
Mn: 0.5000 0.5000 0.5000  8 Pb 3.55, 4 Fe 3.80
Pb: 0.0000 0.0000 0.5000  2 Pt 2.68
Pt: 0.0000 0.0000 0.0000  2 Fe 2.32

Summary of formation energy from the elements in meV/atom
401, 466, 886, 464, 475, 504, 917, 443, 477, 566, 642, 637, 1118
(order as listed above)
Summary of size of the total moment in μB/cell
9.22, 6.00, 3.00, 9.27, 7.69, 7.97, 8.55, 5.66, 6.10, 5.26, 4.70, 5.93, 4.31
(order as listed above)